[1]
A plane-wave DFT calculation with PBE-GGA was carried out for TaP2PtS after structural relaxation.

Structure (POSCAR):
```
TaP2PtS
1.0
4.5860 0.0000 0.0000
0.0000 4.5860 0.0000
0.0000 0.0000 4.6426
P S Pt Ta
2 1 1 1
Direct
0.0000 0.5000 0.0000 P
0.5000 0.0000 0.0000 P
0.0000 0.0000 0.5000 S
0.0000 0.0000 0.0000 Pt
0.5000 0.5000 0.5000 Ta
```

Output
- space group = No. 123
- total magnetization (μB per formula unit) = 0.68
- excess energy over the best structure of this formula in the dataset (meV/atom) = 310.5
- mass density (Mg/m³) = 7.99
- formation energy (no corrections) (eV/atom) = 0.969

---

[2]
A plane-wave DFT calculation with PBE-GGA was carried out for TaPPtS2 after structural relaxation.

Structure (POSCAR):
```
TaPPtS2
1.0
4.6135 0.0000 0.0000
0.0000 4.6135 0.0000
0.0000 0.0000 4.6144
P S Pt Ta
1 2 1 1
Direct
0.0000 0.0000 0.5000 P
0.0000 0.5000 0.0000 S
0.5000 0.0000 0.0000 S
0.0000 0.0000 0.0000 Pt
0.5000 0.5000 0.5000 Ta
```

Output
- space group = No. 123
- total magnetization (μB per formula unit) = 0.97
- excess energy over the best structure of this formula in the dataset (meV/atom) = 388.6
- mass density (Mg/m³) = 7.97
- formation energy (no corrections) (eV/atom) = 0.901

---

[3]
A plane-wave DFT calculation with PBE-GGA was carried out for TaPPtS2 after structural relaxation.

Structure (POSCAR):
```
TaPPtS2
1.0
-1.0356 2.7497 3.6268
2.5118 -2.7565 2.8071
4.0018 2.7144 -0.9153
P S Pt Ta
1 2 1 1
Direct
0.0000 0.0000 0.5000 P
0.0000 0.5000 0.0000 S
0.5000 0.0000 0.0000 S
0.5000 0.5000 0.5000 Pt
0.0000 0.0000 0.0000 Ta
```

Output
- space group = No. 123
- total magnetization (μB per formula unit) = 0.00
- excess energy over the best structure of this formula in the dataset (meV/atom) = 0.0
- mass density (Mg/m³) = 7.30
- formation energy (no corrections) (eV/atom) = 0.513

---

[4]
A plane-wave DFT calculation with PBE-GGA was carried out for Tb6P2PtS3 after structural relaxation.

Structure (POSCAR):
```
Tb6P2PtS3
1.0
3.9746 0.0000 0.0000
0.0000 8.0437 0.2837
-1.9873 -2.3246 8.4274
Tb P Pt S
6 2 1 3
Direct
0.3318 0.9103 0.6636 Tb
0.6691 0.5792 0.3382 Tb
0.6682 0.0897 0.3364 Tb
0.0013 0.2511 0.0027 Tb
0.9987 0.7489 0.9973 Tb
0.3309 0.4208 0.6618 Tb
0.8333 0.6657 0.6666 P
0.1667 0.3343 0.3334 P
0.5000 0.0000 0.0000 Pt
0.5000 0.5000 0.0000 S
0.8317 0.1674 0.6634 S
0.1683 0.8326 0.3366 S
```

Output
- space group = No. 12
- total magnetization (μB per formula unit) = 0.00
- mass density (Mg/m³) = 7.98
- formation energy (no corrections) (eV/atom) = -1.752

---

Which final energy belongs to each record? In order, -27.997; -27.051; -28.994; -78.050 eV per cell.